# 1
NiOs4Rh after structural relaxation. Source: Alexandria, functional PBE.

Unit cell a=5.092 b=5.092 c=5.092 alpha=60.00 beta=60.00 gamma=60.00
Last column: magnetic moment on the atom in μB.
Element x y z (fractional)
Rh 0.250 0.250 0.250  0.45
Os 0.625 0.625 0.125  0.40
Os 0.625 0.625 0.625  0.40
Os 0.625 0.125 0.625  0.40
Os 0.125 0.625 0.625  0.40
Ni 0.000 0.000 0.000  0.61

- Space group: F-43m, No. 216
- DFT formation energy: 0.854 eV per atom



# 2
Pm8HoEr2 after structural relaxation. Source: Alexandria, functional PBE.

Unit cell a=8.592 b=9.240 c=9.240 alpha=42.94 beta=52.32 gamma=52.32
Element x y z (fractional)
Pm 0.776 0.608 0.608
Pm 0.706 0.259 0.259
Pm 0.224 0.392 0.392
Pm 0.803 0.648 0.166
Pm 0.197 0.352 0.834
Pm 0.294 0.741 0.741
Pm 0.803 0.166 0.648
Pm 0.197 0.834 0.352
Ho 0.000 0.000 0.000
Er 0.469 0.144 0.144
Er 0.531 0.856 0.856

- Space group: C2/m, No. 12
- Excess energy over the best structure of this formula in the dataset: 37 meV/atom
- DFT formation energy: 0.208 eV per atom



# 3
K2LiAu2Br6 after structural relaxation. Source: Alexandria, functional PBE.

Unit cell a=7.166 b=8.258 c=8.010 alpha=118.40 beta=90.00 gamma=115.72
Element x y z (fractional)
Br 0.666 0.856 0.204
Br 0.334 0.144 0.796
Br 0.247 0.494 0.348
Br 0.753 0.506 0.652
Br 0.190 0.856 0.204
Br 0.810 0.144 0.796
K 0.737 0.473 0.218
K 0.263 0.527 0.782
Au 0.056 0.112 0.235
Au 0.944 0.888 0.765
Li 0.500 0.000 0.500

- Space group: C2/m, No. 12
- Raw formation energy: -0.885 eV per atom



# 4
BeCdCoN2 after structural relaxation. Source: Alexandria, functional PBE.

Unit cell a=3.497 b=6.034 c=3.497 alpha=90.00 beta=90.00 gamma=90.00
Last column: magnetic moment on the atom in μB.
Element x y z (fractional)
Co 0.000 0.000 0.000  0.31
Cd 0.000 0.500 0.000  0.01
N 0.500 0.000 0.000  0.04
N 0.000 0.000 0.500  0.07
Be 0.500 0.500 0.500  0.00

- Space group: P4/mmm, No. 123
- Raw formation energy: 1.152 eV per atom



# 5
AcSi4Rh2 after structural relaxation. Source: Alexandria, functional PBE.

Unit cell a=4.315 b=6.543 c=17.247 alpha=90.00 beta=90.00 gamma=90.00
Element x y z (fractional)
Si 0.250 0.466 0.434
Si 0.250 0.199 0.195
Si 0.750 0.317 0.321
Si 0.750 0.658 0.971
Si 0.750 0.842 0.471
Si 0.250 0.817 0.179
Si 0.250 0.034 0.934
Si 0.750 0.183 0.821
Si 0.750 0.801 0.805
Si 0.250 0.158 0.529
Si 0.750 0.966 0.066
Si 0.250 0.301 0.695
Si 0.750 0.534 0.566
Si 0.750 0.699 0.305
Si 0.250 0.342 0.029
Si 0.250 0.683 0.679
Rh 0.750 0.003 0.209
Rh 0.250 0.997 0.791
Rh 0.750 0.497 0.709
Rh 0.250 0.503 0.291
Rh 0.250 0.760 0.032
Rh 0.750 0.260 0.468
Rh 0.750 0.240 0.968
Rh 0.250 0.740 0.532
Ac 0.250 0.989 0.360
Ac 0.750 0.489 0.140
Ac 0.750 0.011 0.640
Ac 0.250 0.511 0.860

- Space group: Pnma, No. 62
- Raw formation energy: -0.619 eV per atom



# 6
IrPt2Br after structural relaxation. Source: Alexandria, functional PBE.

Unit cell a=9.082 b=9.082 c=9.082 alpha=18.72 beta=18.72 gamma=18.72
Element x y z (fractional)
Ir 0.748 0.748 0.748
Br 0.493 0.493 0.493
Pt 0.004 0.004 0.004
Pt 0.255 0.255 0.255

- Space group: R3m, No. 160
- Excess energy over the best structure of this formula in the dataset: 168 meV/atom
- Raw formation energy: 0.544 eV per atom



# 7
YGa2Os after structural relaxation. Source: Alexandria, functional PBE.

Unit cell a=4.246 b=4.246 c=5.482 alpha=67.21 beta=67.21 gamma=60.00
Element x y z (fractional)
Y 0.000 0.000 0.000
Ga 0.216 0.216 0.351
Ga 0.784 0.784 0.649
Os 0.500 0.500 0.500

- Space group: R-3m, No. 166
- DFT formation energy: -0.377 eV per atom



# 8
Tb2Pr12Th after structural relaxation. Source: Alexandria, functional PBE.

Unit cell a=6.915 b=6.915 c=25.328 alpha=90.00 beta=90.00 gamma=63.09
Element x y z (fractional)
Pr 0.752 0.252 0.073
Pr 0.751 0.749 0.874
Pr 0.248 0.748 0.073
Pr 0.748 0.248 0.927
Pr 0.725 0.225 0.440
Pr 0.270 0.230 0.585
Pr 0.230 0.270 0.415
Pr 0.500 0.500 0.675
Pr 0.749 0.751 0.126
Pr 0.275 0.775 0.440
Pr 0.000 0.000 0.675
Pr 0.000 0.000 0.800
Pr 0.251 0.249 0.126
Pr 0.730 0.770 0.585
Pr 0.225 0.725 0.560
Pr 0.000 0.000 0.325
Pr 0.775 0.275 0.560
Pr 0.500 0.500 0.800
Pr 0.249 0.251 0.874
Pr 0.770 0.730 0.415
Pr 0.500 0.500 0.325
Pr 0.252 0.752 0.927
Pr 0.500 0.500 0.200
Pr 0.000 0.000 0.200
Th 0.500 0.000 0.001
Th 0.000 0.500 0.999
Tb 0.000 0.500 0.267
Tb 0.500 0.000 0.733
Tb 0.000 0.500 0.729
Tb 0.500 0.000 0.271

- Space group: Cmme, No. 67
- DFT formation energy: 0.169 eV per atom



# 9
Zn2Cu3 after structural relaxation. Source: Alexandria, functional PBE.

Unit cell a=6.341 b=7.095 c=6.018 alpha=90.00 beta=90.00 gamma=90.00
Element x y z (fractional)
Cu 0.504 0.630 0.155
Cu 0.004 0.870 0.655
Cu 0.996 0.370 0.655
Cu 0.996 0.130 0.345
Cu 0.004 0.630 0.345
Cu 0.339 0.750 0.500
Cu 0.496 0.130 0.155
Cu 0.839 0.750 0.000
Cu 0.504 0.870 0.845
Cu 0.161 0.250 0.000
Cu 0.661 0.250 0.500
Cu 0.496 0.370 0.845
Zn 0.306 0.102 0.622
Zn 0.194 0.898 0.122
Zn 0.694 0.602 0.622
Zn 0.306 0.398 0.378
Zn 0.694 0.898 0.378
Zn 0.194 0.602 0.878
Zn 0.806 0.102 0.878
Zn 0.806 0.398 0.122

- Space group: Pbcn, No. 60
- Excess energy over the best structure of this formula in the dataset: 102 meV/atom
- DFT formation energy: 0.027 eV per atom



# 10
Ta4FeCo after structural relaxation. Source: Alexandria, functional PBE.

Unit cell a=5.327 b=5.327 c=5.327 alpha=60.00 beta=60.00 gamma=60.00
Last column: magnetic moment on the atom in μB.
Element x y z (fractional)
Ta 0.375 0.875 0.375  -0.08
Ta 0.875 0.375 0.375  -0.08
Ta 0.375 0.375 0.875  -0.08
Ta 0.375 0.375 0.375  -0.08
Fe 0.000 0.000 0.000  2.74
Co 0.750 0.750 0.750  1.48

- Space group: F-43m, No. 216
- Excess energy over the best structure of this formula in the dataset: 913 meV/atom
- DFT formation energy: 0.722 eV per atom



# 11
ZrTeCl2 after structural relaxation. Source: Alexandria, functional PBE.

Unit cell a=3.593 b=3.593 c=7.970 alpha=90.00 beta=90.00 gamma=90.00
Element x y z (fractional)
Zr 0.500 0.500 0.828
Cl 0.500 0.500 0.142
Cl 0.000 0.000 0.959
Te 0.000 0.000 0.571

- Space group: P4mm, No. 99
- Excess energy over the best structure of this formula in the dataset: 465 meV/atom
- Raw formation energy: -0.882 eV per atom



# 12
OsPtNF2 after structural relaxation. Source: Alexandria, functional PBE.

Unit cell a=4.553 b=4.553 c=3.671 alpha=90.00 beta=90.00 gamma=90.00
Last column: magnetic moment on the atom in μB.
Element x y z (fractional)
F 0.000 0.500 0.000  0.05
F 0.500 0.000 0.000  0.05
N 0.000 0.000 0.500  0.00
Pt 0.000 0.000 0.000  -0.08
Os 0.500 0.500 0.500  3.14

- Space group: P4/mmm, No. 123
- Excess energy over the best structure of this formula in the dataset: 668 meV/atom
- Raw formation energy: 1.055 eV per atom



| no. | DOS(E_F) (states/eV/cell) |
| --- | --- |
| 1 | 7.82 |
| 2 | 15.59 |
| 3 | 5.84 |
| 4 | 3.37 |
| 5 | 7.50 |
| 6 | 6.47 |
| 7 | 1.93 |
| 8 | 44.54 |
| 9 | 5.95 |
| 10 | 7.04 |
| 11 | 1.55 |
| 12 | 3.56 |